# NdSmCuSi3 | the Open Quantum Materials Database | PBE | relaxed
# Spin magnetization (Bohr magnetons per cell): 0.0
# Raw total energy (eV per atom): -5.662
# Space-group type: Fmmm, No. 69
data_NdSmCuSi3
_cell_length_a 8.168
_cell_length_b 8.079
_cell_length_c 5.841
_cell_angle_alpha 69.75
_cell_angle_beta 68.12
_cell_angle_gamma 42.13
_space_group_name_H-M_alt 'P 1'
_space_group_IT_number 1
_space_group_name_Hall 'P 1'
loop_
_atom_site_label
_atom_site_fract_x
_atom_site_fract_y
_atom_site_fract_z
_atom_site_occupancy
Nd1 0.244 0.756 0.244 1
Nd2 0.756 0.244 0.756 1
Sm1 0.250 0.250 0.250 1
Sm2 0.750 0.750 0.750 1
Cu1 0.333 0.333 0.667 1
Cu2 0.667 0.667 0.333 1
Si1 0.170 0.170 0.830 1
Si2 0.170 0.660 0.830 1
Si3 0.340 0.830 0.660 1
Si4 0.660 0.170 0.340 1
Si5 0.830 0.340 0.170 1
Si6 0.830 0.830 0.170 1